Entry 1
Density functional theory data (GGA-PBE) for a geometry-optimized ScFeOs2 structure.

Structure (POSCAR):
```
ScFeOs2
1.0
-0.673 -0.876 -8.858
-3.375 -1.246 -8.170
-2.352 1.353 -8.505
Sc Os Fe
1 2 1
Cartesian
-1.600 -0.192 -6.383 Sc
-0.037 -0.004 -0.147 Os
-3.163 -0.380 -12.620 Os
-4.800 -0.576 -19.150 Fe
```

Values from the calculation:
Its space-group type is R-3m.

Entry 2
Density functional theory data (GGA-PBE) for a geometry-optimized ScFeOs2 structure.

Structure (POSCAR):
```
ScFeOs2
1.0
2.818 0.000 0.000
0.000 2.818 0.000
0.000 0.000 7.684
Os Sc Fe
2 1 1
Cartesian
1.409 1.409 1.718 Os
0.000 0.000 0.003 Os
0.000 0.000 3.886 Sc
1.409 1.409 5.919 Fe
```

Values from the calculation:
Its space-group type is P4mm.

Entry 3
Density functional theory data (GGA-PBE) for a geometry-optimized ScFeOs2 structure.

Structure (POSCAR):
```
ScFeOs2
1.0
-4.932 0.569 7.532
-3.784 -1.950 7.953
-2.391 0.365 8.691
Fe Sc Os
1 1 2
Cartesian
-8.287 -0.758 18.040 Fe
-5.518 -0.505 12.011 Sc
-0.024 -0.002 0.052 Os
-2.830 -0.259 6.161 Os
```

Values from the calculation:
Its space-group type is R3m.

entry 2 is favored, and the nearest alternative lies 139 meV/atom above it.

Entry 1
Density functional theory data (GGA-PBE) for a geometry-optimized ScFeOs3 structure.

Structure (POSCAR):
```
ScFeOs3
1.0
-3.785 1.702 -1.573
0.147 -2.830 -3.416
-2.313 -2.965 2.357
Os Sc Fe
3 1 1
Cartesian
0.073 -1.415 -1.708 Os
-1.892 0.851 -0.786 Os
-1.157 -1.483 1.178 Os
-2.976 -2.046 -1.316 Sc
0.000 0.000 0.000 Fe
```

Values from the calculation:
Its space-group type is Pm-3m.

Entry 2
Density functional theory data (GGA-PBE) for a geometry-optimized ScFeOs3 structure.

Structure (POSCAR):
```
ScFeOs3
1.0
4.546 0.000 0.000
0.000 4.546 0.000
0.000 0.000 4.546
Fe Os Sc
1 3 1
Cartesian
2.273 2.273 2.273 Fe
0.000 0.000 2.273 Os
0.000 2.273 0.000 Os
2.273 0.000 0.000 Os
0.000 0.000 0.000 Sc
```

Values from the calculation:
Its space-group type is Pm-3m.

entry 1 is favored, and the nearest alternative lies 1604 meV/atom above it.

Entry 1
Density functional theory data (GGA-PBE) for a geometry-optimized ScFeOs structure.

Structure (POSCAR):
```
ScFeOs
1.0
2.859 0.000 0.000
-1.430 2.476 0.000
0.000 0.000 6.509
Sc Fe Os
1 1 1
Cartesian
0.000 1.651 4.380 Sc
0.000 0.000 0.084 Fe
1.430 0.825 2.044 Os
```

Values from the calculation:
Its space-group type is P3m1.

Entry 2
Density functional theory data (GGA-PBE) for a geometry-optimized ScFeOs structure.

Structure (POSCAR):
```
ScFeOs
1.0
-2.835 -2.245 -2.271
-3.199 -2.022 1.978
-4.005 1.419 -0.417
Os Sc Fe
1 1 1
Cartesian
-5.019 -1.424 -0.355 Os
-7.529 -2.136 -0.533 Sc
0.000 0.000 0.000 Fe
```

Values from the calculation:
Its space-group type is F-43m.

entry 1 is favored, and the nearest alternative lies 770 meV/atom above it.

Entry 1
Density functional theory data (GGA-PBE) for a geometry-optimized ScFeOs structure.

Structure (POSCAR):
```
ScFeOs
1.0
5.105 -0.124 -0.049
-2.589 4.401 0.049
-2.493 -1.412 4.227
Fe Os Sc
2 2 2
Cartesian
1.306 -0.768 2.089 Fe
-2.541 1.495 2.138 Fe
0.011 1.433 2.114 Os
-1.295 2.201 0.025 Os
-1.233 -0.714 3.695 Sc
1.255 3.579 0.532 Sc
```

Values from the calculation:
Its space-group type is Imma.

Entry 2
Density functional theory data (GGA-PBE) for a geometry-optimized ScFeOs structure.

Structure (POSCAR):
```
ScFeOs
1.0
-2.482 3.370 -0.466
-1.604 -3.871 -0.423
-0.662 -0.062 3.076
Os Sc Fe
1 1 1
Cartesian
-1.988 -1.466 -0.012 Os
-2.630 0.915 1.594 Sc
-0.130 -0.012 0.605 Fe
```

Values from the calculation:
Its space-group type is P3m1.

entry 1 is favored, and the nearest alternative lies 369 meV/atom above it.

Entry 1
Density functional theory data (GGA-PBE) for a geometry-optimized ScFeOs structure.

Structure (POSCAR):
```
ScFeOs
1.0
-2.952 -4.010 -3.404
-1.505 -5.618 -1.599
-2.361 -0.489 1.457
Os Sc Fe
1 1 1
Cartesian
-3.106 -3.736 -0.838 Os
-3.749 -6.541 -2.821 Sc
-4.420 -9.466 -4.889 Fe
```

Values from the calculation:
Its space-group type is I4mm.

Entry 2
Density functional theory data (GGA-PBE) for a geometry-optimized ScFeOs structure.

Structure (POSCAR):
```
ScFeOs
1.0
4.123 0.000 0.000
2.062 3.571 0.000
2.062 1.190 3.367
Fe Os Sc
1 1 1
Cartesian
6.185 3.571 2.525 Fe
0.000 0.000 0.000 Os
4.123 2.381 1.683 Sc
```

Values from the calculation:
Its space-group type is F-43m.

entry 1 is favored, and the nearest alternative lies 295 meV/atom above it.

Entry 1
Density functional theory data (GGA-PBE) for a geometry-optimized ScFe2Os2 structure.

Structure (POSCAR):
```
ScFe2Os2
1.0
7.294 0.000 0.000
0.000 7.294 0.000
0.000 0.000 2.658
Os Sc Fe
4 2 4
Cartesian
6.374 4.566 0.000 Os
0.919 2.727 0.000 Os
4.566 0.919 0.000 Os
2.727 6.374 0.000 Os
3.647 3.647 0.000 Sc
0.000 0.000 0.000 Sc
6.058 2.411 1.329 Fe
4.883 6.058 1.329 Fe
1.236 4.883 1.329 Fe
2.411 1.236 1.329 Fe
```

Values from the calculation:
Its space-group type is P4/mbm.

Entry 2
Density functional theory data (GGA-PBE) for a geometry-optimized ScFe2Os2 structure.

Structure (POSCAR):
```
ScFe2Os2
1.0
7.218 0.000 0.000
0.000 7.218 0.000
0.000 0.000 2.676
Fe Os Sc
4 4 2
Cartesian
6.365 4.463 0.000 Fe
4.463 0.854 0.000 Fe
2.755 6.365 0.000 Fe
0.854 2.755 0.000 Fe
2.342 1.267 1.338 Os
5.951 2.342 1.338 Os
4.877 5.951 1.338 Os
1.267 4.877 1.338 Os
0.000 0.000 0.000 Sc
3.609 3.609 0.000 Sc
```

Values from the calculation:
Its space-group type is P4/mbm.

entry 2 is favored, and the nearest alternative lies 55 meV/atom above it.

Entry 1
Density functional theory data (GGA-PBE) for a geometry-optimized Sc4FeOs structure.

Structure (POSCAR):
```
Sc4FeOs
1.0
3.175 -0.001 0.000
0.001 3.175 0.000
-0.001 -0.001 11.699
Fe Sc Os
1 4 1
Cartesian
0.000 0.000 0.000 Fe
0.000 0.000 4.284 Sc
1.587 1.587 10.215 Sc
1.588 1.587 1.484 Sc
3.176 3.174 7.416 Sc
1.588 1.587 5.850 Os
```

Values from the calculation:
Its space-group type is P4/mmm.

Entry 2
Density functional theory data (GGA-PBE) for a geometry-optimized Sc4FeOs structure.

Structure (POSCAR):
```
Sc4FeOs
1.0
0.000 3.837 3.837
3.837 0.000 3.837
3.837 3.837 0.000
Sc Os Fe
4 1 1
Cartesian
4.802 2.872 4.802 Sc
2.872 2.872 2.872 Sc
2.872 4.802 4.802 Sc
4.802 4.802 2.872 Sc
0.000 0.000 0.000 Os
5.756 5.756 5.756 Fe
```

Values from the calculation:
Its space-group type is F-43m.

entry 1 is favored, and the nearest alternative lies 905 meV/atom above it.

Entry 1
Density functional theory data (GGA-PBE) for a geometry-optimized FeOsSe structure.

Structure (POSCAR):
```
FeOsSe
1.0
-0.364 -4.436 2.951
2.697 -1.909 4.196
-2.485 4.137 -2.287
Os Se Fe
1 1 1
Cartesian
0.779 -2.120 2.388 Os
1.553 -4.226 4.760 Se
2.332 -6.344 7.147 Fe
```

Values from the calculation:
Its space-group type is I4mm.

Entry 2
Density functional theory data (GGA-PBE) for a geometry-optimized FeOsSe structure.

Structure (POSCAR):
```
FeOsSe
1.0
7.823 0.047 -0.031
7.083 2.689 -0.122
0.740 -1.144 2.383
Fe Os Se
1 1 1
Cartesian
0.771 -1.136 2.377 Fe
9.811 1.340 0.759 Os
5.804 0.243 1.476 Se
```

Values from the calculation:
Its space-group type is Fmm2.

Entry 3
Density functional theory data (GGA-PBE) for a geometry-optimized FeOsSe structure.

Structure (POSCAR):
```
FeOsSe
1.0
4.508 -0.003 0.000
1.876 4.099 0.000
-2.875 -2.542 2.365
Fe Os Se
1 1 1
Cartesian
0.073 0.047 0.000 Fe
4.231 2.715 0.000 Os
2.080 1.335 0.000 Se
```

Values from the calculation:
Its space-group type is Imm2.

Entry 4
Density functional theory data (GGA-PBE) for a geometry-optimized FeOsSe structure.

Structure (POSCAR):
```
FeOsSe
1.0
4.176 0.000 0.000
-2.088 3.617 0.000
0.000 0.000 2.947
Os Fe Se
1 1 1
Cartesian
2.088 1.206 1.474 Os
0.000 0.000 0.000 Fe
0.000 2.411 1.472 Se
```

Values from the calculation:
Its space-group type is P-6m2.

entry 1 is favored, and the nearest alternative lies 55 meV/atom above it.

Entry 1
Density functional theory data (GGA-PBE) for a geometry-optimized FeOs3Se structure.

Structure (POSCAR):
```
FeOs3Se
1.0
4.479 0.000 0.000
0.000 4.479 0.000
0.000 0.000 4.479
Fe Os Se
1 3 1
Cartesian
2.239 2.239 2.239 Fe
0.000 0.000 2.239 Os
2.239 0.000 0.000 Os
0.000 2.239 0.000 Os
0.000 0.000 0.000 Se
```

Values from the calculation:
Its space-group type is Pm-3m.

Entry 2
Density functional theory data (GGA-PBE) for a geometry-optimized FeOs3Se structure.

Structure (POSCAR):
```
FeOs3Se
1.0
4.444 0.000 0.000
0.000 4.444 0.000
0.000 0.000 4.444
Os Fe Se
3 1 1
Cartesian
2.222 0.000 0.000 Os
0.000 2.222 0.000 Os
0.000 0.000 2.222 Os
0.000 0.000 0.000 Fe
2.222 2.222 2.222 Se
```

Values from the calculation:
Its space-group type is Pm-3m.

entry 2 is favored, and the nearest alternative lies 255 meV/atom above it.